DFT (GGA+U) results for an optimized crystal structure of DyWO4F.

Calculated values
- total DFT energy (no corrections) (eV per atom) = -7.576

```
data_DyWO4F
_cell_length_a 9.620
_cell_length_b 7.406
_cell_length_c 7.098
_cell_angle_alpha 90.00
_cell_angle_beta 108.83
_cell_angle_gamma 90.00
_space_group_name_H-M_alt 'C 1 2/m 1'
_space_group_IT_number 12
_space_group_name_Hall '-C 2y'
loop_
_atom_site_label
_atom_site_type_symbol
_atom_site_fract_x
_atom_site_fract_y
_atom_site_fract_z
Dy1 Dy 0.202 0.000 0.112
W1 W 0.152 0.500 0.279
O1 O 0.045 0.500 0.783
O2 O 0.209 0.308 0.160
O3 O 0.239 0.500 0.544
F1 F 0.015 0.000 0.832
```